Density functional theory data (PBE) for a geometry-optimized La2TaCu structure.

The structure in POSCAR format:
```
La2TaCu
1.0
3.528 0.000 0.000
0.000 4.951 0.000
0.000 0.000 5.308
La Ta Cu
2 1 1
direct
0.000 0.000 0.000 La
0.500 0.000 0.500 La
0.000 0.500 0.500 Ta
0.500 0.500 0.000 Cu
```

Total moment = 0.00 μB per formula unit
ΔE_f = 554 meV per atom